1.
Th2Ga4RuRh3, optimized geometry, DFT PBE; D(E_F) = 6.102 states/eV per cell; spin magnetization = 0.0 μB per formula unit; crystal system = tetragonal; formation energy = -0.75 eV/atom; symmetry = P-4m2, No. 115
1.0
-3.5176 0.5387 -2.5015
-0.5596 -4.3114 -0.1414
-5.6983 0.4735 8.1148
Ga Ru Rh Th
4 1 3 2
Direct
0.5000 0.5000 0.0000 Ga
0.0000 0.5000 0.3754 Ga
0.0000 0.0000 0.0000 Ga
0.5000 0.0000 0.6246 Ga
0.5000 0.5000 0.5000 Ru
0.5000 0.0000 0.8716 Rh
0.0000 0.5000 0.1284 Rh
0.0000 0.0000 0.5000 Rh
0.0000 0.5000 0.7324 Th
0.5000 0.0000 0.2676 Th

---

2.
ThGaRuRh, optimized geometry, DFT PBE; D(E_F) = 0.948 states/eV per cell; spin magnetization = 0.0 μB per formula unit; crystal system = cubic; formation energy = -0.59 eV/atom; symmetry = F-43m, No. 216
1.0
-3.1547 1.5317 -3.1396
-4.4238 -1.6024 0.1349
-3.4925 2.8437 1.3682
Rh Ga Ru Th
1 1 1 1
Direct
0.5000 0.5000 0.5000 Rh
0.7500 0.7500 0.7500 Ga
0.0000 0.0000 0.0000 Ru
0.2500 0.2500 0.2500 Th

---

3.
TlGaRuRh2, optimized geometry, DFT PBE; D(E_F) = 5.487 states/eV per cell; spin magnetization = 0.0 μB per formula unit; crystal system = tetragonal; formation energy = 1.02 eV/atom; symmetry = P4/mmm, No. 123
1.0
-4.3167 1.3599 -1.3554
-1.9679 -1.7782 4.4833
0.7078 4.2272 1.9873
Rh Tl Ga Ru
2 1 1 1
Direct
0.5000 0.0000 0.0000 Rh
0.0000 0.0000 0.5000 Rh
0.0000 0.5000 0.0000 Tl
0.5000 0.5000 0.5000 Ga
0.0000 0.0000 0.0000 Ru

---

4.
Tm4GaRu2Rh, optimized geometry, DFT PBE; D(E_F) = 4.270 states/eV per cell; spin magnetization = 0.0 μB per formula unit; crystal system = trigonal; formation energy = -0.62 eV/atom; symmetry = R-3m, No. 166
1.0
4.7971 0.0000 0.0000
2.3985 4.1544 0.0000
2.3985 1.3848 7.8962
Ru Tm Ga Rh
2 4 1 1
Direct
0.7486 0.7486 0.7543 Ru
0.2514 0.2514 0.2457 Ru
0.1272 0.1272 0.6184 Tm
0.6215 0.6215 0.1355 Tm
0.3785 0.3785 0.8645 Tm
0.8728 0.8728 0.3816 Tm
0.0000 0.0000 0.0000 Ga
0.5000 0.5000 0.5000 Rh

---

Number 1: E -6.5730 eV/atom. Number 2: E -7.3547 eV/atom. Number 3: E -4.8574 eV/atom. Number 4: E -6.4722 eV/atom.